Material: NbCoIrO6
Method: DFT, PBE with a Hubbard U
State: optimized geometry

Total DFT energy (no corrections), eV/atom: -7.313
D(E_F), states/eV per atom: 0.4913

Structure (POSCAR):
```
NbCoIrO6
1.0
4.950 0.000 0.000
-2.475 4.287 0.000
0.000 0.000 8.885
Nb Co Ir O
2 2 2 12
Direct
0.333 0.667 0.250
0.667 0.333 0.750
0.000 0.000 0.000
0.000 0.000 0.500
0.333 0.667 0.750
0.667 0.333 0.250
0.001 0.325 0.121
0.001 0.676 0.379
0.324 0.325 0.379
0.324 0.999 0.121
0.325 0.001 0.621
0.325 0.324 0.879
0.675 0.676 0.121
0.675 0.999 0.379
0.676 0.001 0.879
0.676 0.675 0.621
0.999 0.324 0.621
0.999 0.675 0.879
```